No. 1
A crystal of TaCrPb relaxed with PBEsol, computed with meta-GGA SCAN.

Results
- DFT formation energy: 492 meV/atom
- V: 17.4 Å³ per atom
- Magnetization: 1.5 μB/cell

POSCAR file:
```
TaCrPb
1.0
3.3027 0.0000 0.0000
0.0000 3.3027 0.0000
-1.6513 -1.6513 4.7759
Cr Pb Ta
1 1 1
direct
0.0173 0.0173 0.0347
0.3390 0.3390 0.6780
0.6436 0.6436 0.2873
```



No. 2
A crystal of TaCr2Pb relaxed with PBEsol, computed with meta-GGA SCAN.

Results
- DFT formation energy: 549 meV/atom
- V: 17.1 Å³ per atom
- Magnetization: 5.2 μB/cell

POSCAR file:
```
TaCr2Pb
1.0
-1.1979 -1.7307 2.2376
-2.0664 -2.1703 -0.6761
5.0759 -6.8581 -0.4783
Cr Pb Ta
2 1 1
direct
0.2582 0.2582 0.2255
0.7418 0.7418 0.7745
0.5000 0.5000 0.5000
0.0000 0.0000 0.0000
```



No. 3
A crystal of TaCrPb2 relaxed with PBEsol, computed with meta-GGA SCAN.

Results
- DFT formation energy: 523 meV/atom
- V: 20.6 Å³ per atom
- Magnetization: 4.0 μB/cell

POSCAR file:
```
TaCrPb2
1.0
-3.1576 0.1342 -0.1185
0.7626 -1.3669 2.7482
0.1866 7.7465 3.8013
Cr Pb Ta
1 2 1
direct
0.5000 0.5000 0.0000
0.0000 0.0000 0.2411
0.0000 0.0000 0.7589
0.5000 0.5000 0.5000
```



No. 4
A crystal of TaCrPb2 relaxed with PBEsol, computed with meta-GGA SCAN.

Results
- DFT formation energy: 524 meV/atom
- V: 21.0 Å³ per atom
- Magnetization: 4.6 μB/cell

POSCAR file:
```
TaCrPb2
1.0
-0.6875 1.7389 2.6412
0.7145 -1.1630 2.9342
8.3750 4.1880 1.4052
Cr Pb Ta
1 2 1
direct
0.0000 0.0000 0.0000
0.2518 0.2518 0.2447
0.7482 0.7482 0.7553
0.5000 0.5000 0.5000
```



No. 5
A crystal of Ta2CrPb2 relaxed with PBEsol, computed with meta-GGA SCAN.

Results
- DFT formation energy: 1079 meV/atom
- V: 23.0 Å³ per atom
- Magnetization: 4.5 μB/cell

POSCAR file:
```
Ta2CrPb2
1.0
4.1214 0.0000 0.0000
0.0000 4.1214 0.0000
-2.0607 -2.0607 6.7660
Pb Cr Ta
2 1 2
direct
0.2500 0.7500 0.5000
0.7500 0.2500 0.5000
0.0000 0.0000 0.0000
0.4105 0.4105 0.8211
0.5895 0.5895 0.1789
```



No. 6
A crystal of TaCrPb2 relaxed with PBEsol, computed with meta-GGA SCAN.

Results
- DFT formation energy: 618 meV/atom
- V: 20.4 Å³ per atom
- Magnetization: 2.8 μB/cell

POSCAR file:
```
TaCrPb2
1.0
3.2324 0.0000 0.0000
0.0000 5.3810 0.0000
-1.6162 -2.6905 4.6954
Cr Pb Ta
1 2 1
direct
0.0000 0.5000 0.0000
0.7362 0.7362 0.4725
0.2638 0.2638 0.5275
0.5000 0.0000 0.0000
```



No. 7
A crystal of TaTiCrPb2 relaxed with PBEsol, computed with meta-GGA SCAN.

Results
- DFT formation energy: 939 meV/atom
- V: 27.6 Å³ per atom
- Magnetization: 4.9 μB/cell

POSCAR file:
```
TaTiCrPb2
1.0
-2.4484 4.0249 0.0560
-2.7844 -1.7536 4.3018
3.6957 2.2025 3.2900
Pb Cr Ti Ta
2 1 1 1
direct
0.0000 0.0000 0.5000
0.0000 0.5000 0.0000
0.5000 0.5000 0.5000
0.5000 0.0000 0.0000
0.0000 0.0000 0.0000
```



No. 8
A crystal of Cr2TcPb relaxed with PBEsol, computed with meta-GGA SCAN.

Results
- DFT formation energy: 322 meV/atom
- V: 16.2 Å³ per atom
- Magnetization: 5.2 μB/cell

POSCAR file:
```
Cr2TcPb
1.0
-1.9238 -1.6607 1.6214
0.9236 -2.4798 -1.4441
5.0301 -1.0036 4.9403
Cr Pb Tc
2 1 1
direct
0.0000 0.0000 0.6972
0.0000 0.0000 0.3028
0.5000 0.5000 0.0000
0.5000 0.5000 0.5000
```



No. 9
A crystal of CrTePb2 relaxed with PBEsol, computed with meta-GGA SCAN.

Results
- ΔE_f (raw): 0.9 eV per formula unit
- V: 25.5 Å³ per atom
- Magnetization: 3.8 μB/cell

POSCAR file:
```
CrTePb2
1.0
-1.9567 -1.5453 -2.0902
2.5730 -1.5233 -1.2825
-1.0926 -7.1683 6.3224
Cr Pb Te
1 2 1
direct
0.5000 0.5000 0.5000
0.0000 0.0000 0.6983
0.0000 0.0000 0.3017
0.5000 0.5000 0.0000
```



No. 10
A crystal of CrTePb2 relaxed with PBEsol, computed with meta-GGA SCAN.

Results
- ΔE_f (raw): 0.1 eV per formula unit
- V: 26.7 Å³ per atom
- Magnetization: 3.9 μB/cell

POSCAR file:
```
CrTePb2
1.0
3.5838 0.0000 0.0000
0.0000 4.2214 0.0000
-1.7919 -2.1107 7.0588
Cr Pb Te
1 2 1
direct
0.0000 0.5000 0.0000
0.6828 0.6828 0.3656
0.3172 0.3172 0.6344
0.5000 0.0000 0.0000
```



No. 11
A crystal of CrTe3Pb relaxed with PBEsol, computed with meta-GGA SCAN.

Results
- ΔE_f (raw): 4.0 eV per formula unit
- V: 37.4 Å³ per atom
- Magnetization: 3.5 μB/cell

POSCAR file:
```
CrTe3Pb
1.0
5.7210 0.0000 0.0000
0.0000 5.7210 0.0000
0.0000 0.0000 5.7210
Pb Cr Te
1 1 3
direct
0.0000 0.0000 0.0000
0.5000 0.5000 0.5000
0.0000 0.5000 0.0000
0.0000 0.0000 0.5000
0.5000 0.0000 0.0000
```



No. 12
A crystal of CrTe2Pb relaxed with PBEsol, computed with meta-GGA SCAN.

Results
- ΔE_f (raw): 0.2 eV per formula unit
- V: 25.4 Å³ per atom
- Magnetization: 3.3 μB/cell

POSCAR file:
```
CrTe2Pb
1.0
3.3684 0.0000 0.0000
0.0000 3.3684 0.0000
0.0000 0.0000 8.9377
Cr Pb Te
1 1 2
direct
0.0000 0.0000 0.4713
0.5000 0.5000 0.7001
0.0000 0.0000 0.9982
0.5000 0.5000 0.3304
```



No. 13
A crystal of CrTePb2 relaxed with PBEsol, computed with meta-GGA SCAN.

Results
- ΔE_f (raw): 0.0 eV per formula unit
- V: 26.0 Å³ per atom
- Magnetization: 3.1 μB/cell

POSCAR file:
```
CrTePb2
1.0
-1.6598 -2.4405 -1.9357
-1.0135 -3.0387 1.4822
-9.3806 2.1256 2.1459
Cr Pb Te
1 2 1
direct
0.2441 0.2441 0.2676
0.9860 0.9860 0.0419
0.7473 0.7473 0.7580
0.5225 0.5225 0.4325
```



No. 14
A crystal of TlCrPb3 relaxed with PBEsol, computed with meta-GGA SCAN.

Results
- DFT formation energy: 217 meV/atom
- V: 27.9 Å³ per atom
- Magnetization: 2.2 μB/cell

POSCAR file:
```
TlCrPb3
1.0
-0.1535 4.1259 -3.1426
-4.6275 1.3108 1.9470
2.3422 2.8603 3.6408
Pb Cr Tl
3 1 1
direct
0.0000 0.5000 0.0000
0.0000 0.0000 0.5000
0.5000 0.0000 0.0000
0.0000 0.0000 0.0000
0.5000 0.5000 0.5000
```



No. 15
A crystal of CrPbW2 relaxed with PBEsol, computed with meta-GGA SCAN.

Results
- DFT formation energy: 759 meV/atom
- V: 16.8 Å³ per atom
- Magnetization: 0.0 μB/cell

POSCAR file:
```
CrPbW2
1.0
2.9560 0.0000 0.0000
0.0000 2.9560 0.0000
0.0000 0.0000 7.6880
Cr Pb W
1 1 2
direct
0.5000 0.5000 0.0000
0.5000 0.5000 0.5000
0.0000 0.0000 0.8063
0.0000 0.0000 0.1937
```



No. 16
A crystal of CrPbW2 relaxed with PBEsol, computed with meta-GGA SCAN.

Results
- DFT formation energy: 912 meV/atom
- V: 16.9 Å³ per atom
- Magnetization: 0.0 μB/cell

POSCAR file:
```
CrPbW2
1.0
-2.6315 1.2927 0.5476
-2.1760 -1.5504 1.3257
1.3247 2.5378 8.4977
Cr Pb W
1 1 2
direct
0.5000 0.5000 0.5000
0.0000 0.0000 0.0000
0.2363 0.2363 0.2910
0.7637 0.7637 0.7090
```



No. 17
A crystal of CrPb2W relaxed with PBEsol, computed with meta-GGA SCAN.

Results
- DFT formation energy: 925 meV/atom
- V: 19.6 Å³ per atom
- Magnetization: 3.6 μB/cell

POSCAR file:
```
CrPb2W
1.0
-0.3188 3.0269 -2.3437
-4.9082 -0.6545 -0.1776
2.1651 1.2915 4.5217
Cr Pb W
1 2 1
direct
0.0000 0.5000 0.0000
0.7399 0.7399 0.4799
0.2601 0.2601 0.5201
0.5000 0.0000 0.0000
```



No. 18
A crystal of YCrPb2 relaxed with PBEsol, computed with meta-GGA SCAN.

Results
- DFT formation energy: -159 meV/atom
- V: 23.5 Å³ per atom
- Magnetization: 4.2 μB/cell

POSCAR file:
```
YCrPb2
1.0
3.4189 0.1457 0.0000
-0.1511 3.4187 0.0000
0.0000 0.0000 8.0269
Cr Pb Y
1 2 1
direct
0.5000 0.5000 0.0000
0.0000 0.0000 0.2228
0.0000 0.0000 0.7772
0.5000 0.5000 0.5000
```



No. 19
A crystal of Y4CrPb relaxed with PBEsol, computed with meta-GGA SCAN.

Results
- DFT formation energy: 381 meV/atom
- V: 28.0 Å³ per atom
- Magnetization: 5.3 μB/cell

POSCAR file:
```
Y4CrPb
1.0
-4.3474 -1.9321 -3.9651
-2.8992 -5.3865 0.9669
-5.9514 -0.0496 1.7127
Cr Pb Y
1 1 4
direct
0.7500 0.7500 0.7500
0.0000 0.0000 0.0000
0.3750 0.3750 0.3750
0.3750 0.3750 0.8750
0.8750 0.3750 0.3750
0.3750 0.8750 0.3750
```



No. 20
A crystal of YCr3Pb relaxed with PBEsol, computed with meta-GGA SCAN.

Results
- DFT formation energy: 1594 meV/atom
- V: 23.8 Å³ per atom
- Magnetization: 12.0 μB/cell

POSCAR file:
```
YCr3Pb
1.0
4.9188 0.0000 0.0000
0.0000 4.9188 0.0000
0.0000 0.0000 4.9188
Pb Y Cr
1 1 3
direct
0.5000 0.5000 0.5000
0.0000 0.0000 0.0000
0.0000 0.5000 0.0000
0.0000 0.0000 0.5000
0.5000 0.0000 0.0000
```



No. 21
A crystal of YCrPb2 relaxed with PBEsol, computed with meta-GGA SCAN.

Results
- DFT formation energy: -240 meV/atom
- V: 23.9 Å³ per atom
- Magnetization: 3.9 μB/cell

POSCAR file:
```
YCrPb2
1.0
4.3412 0.0000 0.0000
0.0000 4.3412 0.0000
-2.1706 -2.1706 5.0682
Cr Pb Y
1 2 1
direct
0.7500 0.2500 0.5000
0.5000 0.5000 0.0000
0.2500 0.7500 0.5000
0.0000 0.0000 0.0000
```



No. 22
A crystal of YCrPb2 relaxed with PBEsol, computed with meta-GGA SCAN.

Results
- DFT formation energy: -66 meV/atom
- V: 24.5 Å³ per atom
- Magnetization: 3.9 μB/cell

POSCAR file:
```
YCrPb2
1.0
3.9220 0.0000 0.0000
0.0000 3.9220 0.0000
0.0000 0.0000 6.3721
Cr Pb Y
1 2 1
direct
0.5000 0.5000 0.7515
0.0000 0.0000 0.9816
0.5000 0.5000 0.2580
0.0000 0.0000 0.5089
```



No. 23
A crystal of Zr3CrPb relaxed with PBEsol, computed with meta-GGA SCAN.

Results
- DFT formation energy: 1155 meV/atom
- V: 29.7 Å³ per atom
- Magnetization: 4.1 μB/cell

POSCAR file:
```
Zr3CrPb
1.0
5.2960 0.0000 0.0000
0.0000 5.2960 0.0000
0.0000 0.0000 5.2960
Pb Cr Zr
1 1 3
direct
0.0000 0.0000 0.0000
0.5000 0.5000 0.5000
0.0000 0.5000 0.0000
0.0000 0.0000 0.5000
0.5000 0.0000 0.0000
```



No. 24
A crystal of Zr3CrPb relaxed with PBEsol, computed with meta-GGA SCAN.

Results
- DFT formation energy: 285 meV/atom
- V: 22.0 Å³ per atom
- Magnetization: 0.0 μB/cell

POSCAR file:
```
Zr3CrPb
1.0
-0.5150 -4.6594 -0.9945
-0.6529 -0.9218 4.6571
-4.7194 0.6359 -0.5357
Pb Cr Zr
1 1 3
direct
0.5000 0.5000 0.5000
0.0000 0.0000 0.0000
0.0000 0.5000 0.0000
0.0000 0.0000 0.5000
0.5000 0.0000 0.0000
```



No. 25
A crystal of ZrCrPb2 relaxed with PBEsol, computed with meta-GGA SCAN.

Results
- DFT formation energy: 18 meV/atom
- V: 21.6 Å³ per atom
- Magnetization: 3.6 μB/cell

POSCAR file:
```
ZrCrPb2
1.0
-1.6761 3.7617 -0.3544
-3.1925 -1.1759 2.6171
2.5842 1.5124 3.8320
Cr Pb Zr
1 2 1
direct
0.5000 0.0000 0.5000
0.0000 0.0000 0.0000
0.0000 0.5000 0.5000
0.5000 0.5000 0.0000
```



No. 26
A crystal of ZrCrPb2 relaxed with PBEsol, computed with meta-GGA SCAN.

Results
- DFT formation energy: 115 meV/atom
- V: 21.7 Å³ per atom
- Magnetization: 2.8 μB/cell

POSCAR file:
```
ZrCrPb2
1.0
3.3622 0.0000 0.0000
0.0000 5.4277 0.0000
-1.6811 -2.7138 4.7669
Cr Pb Zr
1 2 1
direct
0.5000 0.0000 0.0000
0.7685 0.7685 0.5370
0.2315 0.2315 0.4630
0.0000 0.5000 0.0000
```



No. 27
A crystal of ZrCrPb2 relaxed with PBEsol, computed with meta-GGA SCAN.

Results
- DFT formation energy: 145 meV/atom
- V: 21.5 Å³ per atom
- Magnetization: 2.4 μB/cell

POSCAR file:
```
ZrCrPb2
1.0
-1.0054 -1.9872 4.4265
-2.7942 -4.0807 0.3068
2.0543 -4.3172 1.3019
Pb Cr Zr
2 1 1
direct
0.2500 0.2500 0.2500
0.7500 0.7500 0.7500
0.0000 0.0000 0.0000
0.5000 0.5000 0.5000
```



No. 28
A crystal of CrPd3 relaxed with PBEsol, computed with meta-GGA SCAN.

Results
- DFT formation energy: -170 meV/atom
- V: 14.0 Å³ per atom
- Magnetization: 3.0 μB/cell

POSCAR file:
```
CrPd3
1.0
3.8297 0.0000 0.0000
0.0000 3.8297 0.0000
0.0000 0.0000 3.8297
Cr Pd
1 3
direct
0.0000 0.0000 0.0000
0.0000 0.5000 0.5000
0.5000 0.0000 0.5000
0.5000 0.5000 0.0000
```



No. 29
A crystal of RbCrPdW2 relaxed with PBEsol, computed with meta-GGA SCAN.

Results
- DFT formation energy: 1973 meV/atom
- V: 24.1 Å³ per atom
- Magnetization: 0.4 μB/cell

POSCAR file:
```
RbCrPdW2
1.0
4.8616 0.0000 0.0000
0.0000 4.8616 0.0000
0.0000 0.0000 5.0921
Cr Rb Pd W
1 1 1 2
direct
0.0000 0.0000 0.5000
0.5000 0.5000 0.5000
0.0000 0.0000 0.0000
0.0000 0.5000 0.0000
0.5000 0.0000 0.0000
```



No. 30
A crystal of CrRePd3 relaxed with PBEsol, computed with meta-GGA SCAN.

Results
- DFT formation energy: 1597 meV/atom
- V: 17.2 Å³ per atom
- Magnetization: 0.7 μB/cell

POSCAR file:
```
CrRePd3
1.0
-0.1735 -0.5005 -4.3832
3.8006 -2.2444 0.1059
-2.2402 -3.7690 0.5190
Re Pd Cr
1 3 1
direct
0.5000 0.5000 0.5000
0.0000 0.5000 0.0000
0.0000 0.0000 0.5000
0.5000 0.0000 0.0000
0.0000 0.0000 0.0000
```